# 1
# NaSe2NO | Alexandria via LeMat-Bulk | PBE-GGA | relaxed
# Size of the total moment, μB per formula unit: 8.02
# Calculated volume, Å³/atom: 28.78
# Crystal system: tetragonal
# Energy above the most stable polymorph in this dataset, eV per atom: 0.957
# Formation energy from raw total energies, eV/atom: 1.8519
# Space group: P4/mmm
data_NaSe2NO
_cell_length_a 5.569
_cell_length_b 5.569
_cell_length_c 4.640
_cell_angle_alpha 90.00
_cell_angle_beta 90.00
_cell_angle_gamma 90.00
_space_group_name_H-M_alt 'P 1'
_space_group_IT_number 1
_space_group_name_Hall 'P 1'
loop_
_atom_site_label
_atom_site_type_symbol
_atom_site_fract_x
_atom_site_fract_y
_atom_site_fract_z
Na1 Na 0.000 0.000 0.000
Se1 Se 0.000 0.500 0.000
Se2 Se 0.500 0.000 0.000
N1 N 0.000 0.000 0.500
O1 O 0.500 0.500 0.500



# 2
# NaSeN2O | Alexandria via LeMat-Bulk | PBE-GGA | relaxed
# Size of the total moment, μB per formula unit: 4.72
# Calculated volume, Å³/atom: 15.81
# Crystal system: tetragonal
# Formation energy from raw total energies, eV/atom: 2.1799
# Space group: P4/mmm
data_NaSeN2O
_cell_length_a 4.375
_cell_length_b 4.375
_cell_length_c 4.130
_cell_angle_alpha 90.00
_cell_angle_beta 90.00
_cell_angle_gamma 90.00
_space_group_name_H-M_alt 'P 1'
_space_group_IT_number 1
_space_group_name_Hall 'P 1'
loop_
_atom_site_label
_atom_site_type_symbol
_atom_site_fract_x
_atom_site_fract_y
_atom_site_fract_z
Na1 Na 0.000 0.000 0.000
Se1 Se 0.500 0.500 0.500
N1 N 0.000 0.500 0.000
N2 N 0.500 0.000 0.000
O1 O 0.000 0.000 0.500



# 3
# NaSiNO2 | Alexandria via LeMat-Bulk | PBE-GGA | relaxed
# Size of the total moment, μB per formula unit: 4.00
# Calculated volume, Å³/atom: 14.17
# Crystal system: tetragonal
# Formation energy from raw total energies, eV/atom: 1.2942
# Space group: P4/mmm
data_NaSiNO2
_cell_length_a 4.108
_cell_length_b 4.108
_cell_length_c 4.197
_cell_angle_alpha 90.00
_cell_angle_beta 90.00
_cell_angle_gamma 90.00
_space_group_name_H-M_alt 'P 1'
_space_group_IT_number 1
_space_group_name_Hall 'P 1'
loop_
_atom_site_label
_atom_site_type_symbol
_atom_site_fract_x
_atom_site_fract_y
_atom_site_fract_z
Na1 Na 0.000 0.000 0.000
Si1 Si 0.500 0.500 0.500
N1 N 0.000 0.000 0.500
O1 O 0.000 0.500 0.000
O2 O 0.500 0.000 0.000



# 4
# NaSiNO2 | Alexandria via LeMat-Bulk | PBE-GGA | relaxed
# Size of the total moment, μB per formula unit: 1.89
# Calculated volume, Å³/atom: 9.50
# Crystal system: tetragonal
# Formation energy from raw total energies, eV/atom: -1.0768
# Space group: P4/mmm
data_NaSiNO2
_cell_length_a 3.607
_cell_length_b 3.607
_cell_length_c 3.653
_cell_angle_alpha 90.00
_cell_angle_beta 90.00
_cell_angle_gamma 90.00
_space_group_name_H-M_alt 'P 1'
_space_group_IT_number 1
_space_group_name_Hall 'P 1'
loop_
_atom_site_label
_atom_site_type_symbol
_atom_site_fract_x
_atom_site_fract_y
_atom_site_fract_z
Na1 Na 0.000 0.000 0.000
Si1 Si 0.500 0.500 0.500
N1 N 0.500 0.500 0.000
O1 O 0.000 0.500 0.500
O2 O 0.500 0.000 0.500



# 5
# NaSrN2O | Alexandria via LeMat-Bulk | PBE-GGA | relaxed
# Size of the total moment, μB per formula unit: 5.00
# Calculated volume, Å³/atom: 23.27
# Crystal system: tetragonal
# Formation energy from raw total energies, eV/atom: 0.8002
# Space group: P4/mmm
data_NaSrN2O
_cell_length_a 5.026
_cell_length_b 5.026
_cell_length_c 4.607
_cell_angle_alpha 90.00
_cell_angle_beta 90.00
_cell_angle_gamma 90.00
_space_group_name_H-M_alt 'P 1'
_space_group_IT_number 1
_space_group_name_Hall 'P 1'
loop_
_atom_site_label
_atom_site_type_symbol
_atom_site_fract_x
_atom_site_fract_y
_atom_site_fract_z
Na1 Na 0.000 0.000 0.000
Sr1 Sr 0.500 0.500 0.500
N1 N 0.000 0.500 0.500
N2 N 0.500 0.000 0.500
O1 O 0.500 0.500 0.000



# 6
# NaSrNO2 | Alexandria via LeMat-Bulk | PBE-GGA | relaxed
# Size of the total moment, μB per formula unit: 4.00
# Calculated volume, Å³/atom: 15.61
# Crystal system: tetragonal
# Formation energy from raw total energies, eV/atom: -0.1206
# Space group: P4/mmm
data_NaSrNO2
_cell_length_a 4.290
_cell_length_b 4.290
_cell_length_c 4.242
_cell_angle_alpha 90.00
_cell_angle_beta 90.00
_cell_angle_gamma 90.00
_space_group_name_H-M_alt 'P 1'
_space_group_IT_number 1
_space_group_name_Hall 'P 1'
loop_
_atom_site_label
_atom_site_type_symbol
_atom_site_fract_x
_atom_site_fract_y
_atom_site_fract_z
Na1 Na 0.000 0.000 0.000
Sr1 Sr 0.500 0.500 0.500
N1 N 0.000 0.000 0.500
O1 O 0.000 0.500 0.000
O2 O 0.500 0.000 0.000



# 7
# Na2Sr6NO | Alexandria via LeMat-Bulk | PBE-GGA | relaxed
# Size of the total moment, μB per formula unit: 0.00
# Calculated volume, Å³/atom: 34.07
# Crystal system: trigonal
# Formation energy from raw total energies, eV/atom: -0.6439
# Space group: R-3m
data_Na2Sr6NO
_cell_length_a 13.571
_cell_length_b 13.571
_cell_length_c 13.571
_cell_angle_alpha 33.59
_cell_angle_beta 33.59
_cell_angle_gamma 33.59
_space_group_name_H-M_alt 'P 1'
_space_group_IT_number 1
_space_group_name_Hall 'P 1'
loop_
_atom_site_label
_atom_site_type_symbol
_atom_site_fract_x
_atom_site_fract_y
_atom_site_fract_z
Na1 Na 0.127 0.127 0.127
Na2 Na 0.289 0.289 0.289
Na3 Na 0.711 0.711 0.711
Na4 Na 0.873 0.873 0.873
Sr1 Sr 0.162 0.604 0.604
Sr2 Sr 0.203 0.203 0.712
Sr3 Sr 0.203 0.712 0.203
Sr4 Sr 0.288 0.797 0.797
Sr5 Sr 0.396 0.396 0.838
Sr6 Sr 0.396 0.838 0.396
Sr7 Sr 0.604 0.162 0.604
Sr8 Sr 0.604 0.604 0.162
Sr9 Sr 0.712 0.203 0.203
Sr10 Sr 0.797 0.288 0.797
Sr11 Sr 0.797 0.797 0.288
Sr12 Sr 0.838 0.396 0.396
N1 N 0.000 0.000 0.000
N2 N 0.500 0.500 0.500
O1 O 0.413 0.413 0.413
O2 O 0.587 0.587 0.587



# 8
# NaSrN2O | Alexandria via LeMat-Bulk | PBE-GGA | relaxed
# Size of the total moment, μB per formula unit: 5.00
# Calculated volume, Å³/atom: 16.32
# Crystal system: tetragonal
# Formation energy from raw total energies, eV/atom: 0.6867
# Space group: P4/mmm
data_NaSrN2O
_cell_length_a 4.355
_cell_length_b 4.355
_cell_length_c 4.304
_cell_angle_alpha 90.00
_cell_angle_beta 90.00
_cell_angle_gamma 90.00
_space_group_name_H-M_alt 'P 1'
_space_group_IT_number 1
_space_group_name_Hall 'P 1'
loop_
_atom_site_label
_atom_site_type_symbol
_atom_site_fract_x
_atom_site_fract_y
_atom_site_fract_z
Na1 Na 0.000 0.000 0.000
Sr1 Sr 0.500 0.500 0.500
N1 N 0.000 0.500 0.000
N2 N 0.500 0.000 0.000
O1 O 0.000 0.000 0.500



# 9
# NaTaN2O | Alexandria via LeMat-Bulk | PBE-GGA | relaxed
# Size of the total moment, μB per formula unit: 2.04
# Calculated volume, Å³/atom: 11.11
# Crystal system: tetragonal
# Formation energy from raw total energies, eV/atom: 1.4838
# Space group: P4/mmm
data_NaTaN2O
_cell_length_a 3.869
_cell_length_b 3.869
_cell_length_c 3.711
_cell_angle_alpha 90.00
_cell_angle_beta 90.00
_cell_angle_gamma 90.00
_space_group_name_H-M_alt 'P 1'
_space_group_IT_number 1
_space_group_name_Hall 'P 1'
loop_
_atom_site_label
_atom_site_type_symbol
_atom_site_fract_x
_atom_site_fract_y
_atom_site_fract_z
Na1 Na 0.000 0.000 0.000
Ta1 Ta 0.500 0.500 0.500
N1 N 0.000 0.500 0.000
N2 N 0.500 0.000 0.000
O1 O 0.000 0.000 0.500



# 10
# NaTaN2O | Alexandria via LeMat-Bulk | PBE-GGA | relaxed
# Size of the total moment, μB per formula unit: 1.61
# Calculated volume, Å³/atom: 13.53
# Crystal system: tetragonal
# Formation energy from raw total energies, eV/atom: -0.7350
# Space group: P4/mmm
data_NaTaN2O
_cell_length_a 4.101
_cell_length_b 4.101
_cell_length_c 4.022
_cell_angle_alpha 90.00
_cell_angle_beta 90.00
_cell_angle_gamma 90.00
_space_group_name_H-M_alt 'P 1'
_space_group_IT_number 1
_space_group_name_Hall 'P 1'
loop_
_atom_site_label
_atom_site_type_symbol
_atom_site_fract_x
_atom_site_fract_y
_atom_site_fract_z
Na1 Na 0.000 0.000 0.000
Ta1 Ta 0.500 0.500 0.500
N1 N 0.000 0.500 0.500
N2 N 0.500 0.000 0.500
O1 O 0.500 0.500 0.000



# 11
# NaTcNO2 | Alexandria via LeMat-Bulk | PBE-GGA | relaxed
# Size of the total moment, μB per formula unit: 0.00
# Calculated volume, Å³/atom: 11.71
# Crystal system: tetragonal
# Formation energy from raw total energies, eV/atom: -0.9044
# Space group: P4/mmm
data_NaTcNO2
_cell_length_a 3.907
_cell_length_b 3.907
_cell_length_c 3.836
_cell_angle_alpha 90.00
_cell_angle_beta 90.00
_cell_angle_gamma 90.00
_space_group_name_H-M_alt 'P 1'
_space_group_IT_number 1
_space_group_name_Hall 'P 1'
loop_
_atom_site_label
_atom_site_type_symbol
_atom_site_fract_x
_atom_site_fract_y
_atom_site_fract_z
Na1 Na 0.000 0.000 0.000
Tc1 Tc 0.500 0.500 0.500
N1 N 0.500 0.500 0.000
O1 O 0.000 0.500 0.500
O2 O 0.500 0.000 0.500



# 12
# NaTcN2O | Alexandria via LeMat-Bulk | PBE-GGA | relaxed
# Size of the total moment, μB per formula unit: 0.00
# Calculated volume, Å³/atom: 11.86
# Crystal system: tetragonal
# Formation energy from raw total energies, eV/atom: -0.2231
# Space group: P4/mmm
data_NaTcN2O
_cell_length_a 3.862
_cell_length_b 3.862
_cell_length_c 3.975
_cell_angle_alpha 90.00
_cell_angle_beta 90.00
_cell_angle_gamma 90.00
_space_group_name_H-M_alt 'P 1'
_space_group_IT_number 1
_space_group_name_Hall 'P 1'
loop_
_atom_site_label
_atom_site_type_symbol
_atom_site_fract_x
_atom_site_fract_y
_atom_site_fract_z
Na1 Na 0.000 0.000 0.000
Tc1 Tc 0.500 0.500 0.500
N1 N 0.000 0.500 0.500
N2 N 0.500 0.000 0.500
O1 O 0.500 0.500 0.000



# 13
# NaTcN2O | Alexandria via LeMat-Bulk | PBE-GGA | relaxed
# Size of the total moment, μB per formula unit: 0.00
# Calculated volume, Å³/atom: 11.47
# Crystal system: tetragonal
# Formation energy from raw total energies, eV/atom: 2.4165
# Space group: P4/mmm
data_NaTcN2O
_cell_length_a 3.887
_cell_length_b 3.887
_cell_length_c 3.798
_cell_angle_alpha 90.00
_cell_angle_beta 90.00
_cell_angle_gamma 90.00
_space_group_name_H-M_alt 'P 1'
_space_group_IT_number 1
_space_group_name_Hall 'P 1'
loop_
_atom_site_label
_atom_site_type_symbol
_atom_site_fract_x
_atom_site_fract_y
_atom_site_fract_z
Na1 Na 0.000 0.000 0.000
Tc1 Tc 0.500 0.500 0.500
N1 N 0.000 0.500 0.000
N2 N 0.500 0.000 0.000
O1 O 0.000 0.000 0.500



# 14
# NaTcNO2 | Alexandria via LeMat-Bulk | PBE-GGA | relaxed
# Size of the total moment, μB per formula unit: 1.00
# Calculated volume, Å³/atom: 12.84
# Crystal system: tetragonal
# Formation energy from raw total energies, eV/atom: 1.4138
# Space group: P4/mmm
data_NaTcNO2
_cell_length_a 3.980
_cell_length_b 3.980
_cell_length_c 4.052
_cell_angle_alpha 90.00
_cell_angle_beta 90.00
_cell_angle_gamma 90.00
_space_group_name_H-M_alt 'P 1'
_space_group_IT_number 1
_space_group_name_Hall 'P 1'
loop_
_atom_site_label
_atom_site_type_symbol
_atom_site_fract_x
_atom_site_fract_y
_atom_site_fract_z
Na1 Na 0.000 0.000 0.000
Tc1 Tc 0.500 0.500 0.500
N1 N 0.000 0.000 0.500
O1 O 0.000 0.500 0.000
O2 O 0.500 0.000 0.000



# 15
# NaThNO | Alexandria via LeMat-Bulk | PBE-GGA | relaxed
# Size of the total moment, μB per formula unit: 0.00
# Calculated volume, Å³/atom: 15.68
# Crystal system: trigonal
# Formation energy from raw total energies, eV/atom: -1.8797
# Space group: R-3m
data_NaThNO
_cell_length_a 9.609
_cell_length_b 9.609
_cell_length_c 9.609
_cell_angle_alpha 23.66
_cell_angle_beta 23.66
_cell_angle_gamma 23.66
_space_group_name_H-M_alt 'P 1'
_space_group_IT_number 1
_space_group_name_Hall 'P 1'
loop_
_atom_site_label
_atom_site_type_symbol
_atom_site_fract_x
_atom_site_fract_y
_atom_site_fract_z
Na1 Na 0.196 0.196 0.196
Na2 Na 0.804 0.804 0.804
Th1 Th 0.386 0.386 0.386
Th2 Th 0.614 0.614 0.614
N1 N 0.301 0.301 0.301
N2 N 0.699 0.699 0.699
O1 O 0.109 0.109 0.109
O2 O 0.891 0.891 0.891



# 16
# NaTiNO2 | Alexandria via LeMat-Bulk | PBE-GGA | relaxed
# Size of the total moment, μB per formula unit: 2.00
# Calculated volume, Å³/atom: 12.41
# Crystal system: tetragonal
# Formation energy from raw total energies, eV/atom: -1.3485
# Space group: P4/mmm
data_NaTiNO2
_cell_length_a 3.896
_cell_length_b 3.896
_cell_length_c 4.087
_cell_angle_alpha 90.00
_cell_angle_beta 90.00
_cell_angle_gamma 90.00
_space_group_name_H-M_alt 'P 1'
_space_group_IT_number 1
_space_group_name_Hall 'P 1'
loop_
_atom_site_label
_atom_site_type_symbol
_atom_site_fract_x
_atom_site_fract_y
_atom_site_fract_z
Na1 Na 0.000 0.000 0.000
Ti1 Ti 0.500 0.500 0.500
N1 N 0.500 0.500 0.000
O1 O 0.000 0.500 0.500
O2 O 0.500 0.000 0.500



# 17
# NaTiNO2 | Alexandria via LeMat-Bulk | PBE-GGA | relaxed
# Size of the total moment, μB per formula unit: 2.00
# Calculated volume, Å³/atom: 11.92
# Crystal system: tetragonal
# Formation energy from raw total energies, eV/atom: 0.6058
# Space group: P4/mmm
data_NaTiNO2
_cell_length_a 3.863
_cell_length_b 3.863
_cell_length_c 3.994
_cell_angle_alpha 90.00
_cell_angle_beta 90.00
_cell_angle_gamma 90.00
_space_group_name_H-M_alt 'P 1'
_space_group_IT_number 1
_space_group_name_Hall 'P 1'
loop_
_atom_site_label
_atom_site_type_symbol
_atom_site_fract_x
_atom_site_fract_y
_atom_site_fract_z
Na1 Na 0.000 0.000 0.000
Ti1 Ti 0.500 0.500 0.500
N1 N 0.000 0.000 0.500
O1 O 0.000 0.500 0.000
O2 O 0.500 0.000 0.000



# 18
# NaTlNO2 | Alexandria via LeMat-Bulk | PBE-GGA | relaxed
# Size of the total moment, μB per formula unit: 2.76
# Calculated volume, Å³/atom: 17.11
# Crystal system: tetragonal
# Formation energy from raw total energies, eV/atom: 0.4603
# Space group: P4/mmm
data_NaTlNO2
_cell_length_a 4.382
_cell_length_b 4.382
_cell_length_c 4.455
_cell_angle_alpha 90.00
_cell_angle_beta 90.00
_cell_angle_gamma 90.00
_space_group_name_H-M_alt 'P 1'
_space_group_IT_number 1
_space_group_name_Hall 'P 1'
loop_
_atom_site_label
_atom_site_type_symbol
_atom_site_fract_x
_atom_site_fract_y
_atom_site_fract_z
Na1 Na 0.000 0.000 0.000
Tl1 Tl 0.500 0.500 0.500
N1 N 0.500 0.500 0.000
O1 O 0.000 0.500 0.500
O2 O 0.500 0.000 0.500



# 19
# NaTlNO2 | Alexandria via LeMat-Bulk | PBE-GGA | relaxed
# Size of the total moment, μB per formula unit: 5.00
# Calculated volume, Å³/atom: 17.61
# Crystal system: tetragonal
# Formation energy from raw total energies, eV/atom: 0.8622
# Space group: P4/mmm
data_NaTlNO2
_cell_length_a 4.415
_cell_length_b 4.415
_cell_length_c 4.517
_cell_angle_alpha 90.00
_cell_angle_beta 90.00
_cell_angle_gamma 90.00
_space_group_name_H-M_alt 'P 1'
_space_group_IT_number 1
_space_group_name_Hall 'P 1'
loop_
_atom_site_label
_atom_site_type_symbol
_atom_site_fract_x
_atom_site_fract_y
_atom_site_fract_z
Na1 Na 0.000 0.000 0.000
Tl1 Tl 0.500 0.500 0.500
N1 N 0.000 0.000 0.500
O1 O 0.000 0.500 0.000
O2 O 0.500 0.000 0.000



# 20
# NaUNO | Alexandria via LeMat-Bulk | PBE-GGA | relaxed
# Size of the total moment, μB per formula unit: 2.00
# Calculated volume, Å³/atom: 15.19
# Crystal system: trigonal
# Formation energy from raw total energies, eV/atom: -1.6627
# Space group: R3m
data_NaUNO
_cell_length_a 6.087
_cell_length_b 6.087
_cell_length_c 6.087
_cell_angle_alpha 33.38
_cell_angle_beta 33.38
_cell_angle_gamma 33.38
_space_group_name_H-M_alt 'P 1'
_space_group_IT_number 1
_space_group_name_Hall 'P 1'
loop_
_atom_site_label
_atom_site_type_symbol
_atom_site_fract_x
_atom_site_fract_y
_atom_site_fract_z
Na1 Na 0.000 0.000 0.000
U1 U 0.496 0.496 0.496
N1 N 0.766 0.766 0.766
O1 O 0.233 0.233 0.233